1.
# TcPAuS2

A geometry-optimized TcPAuS2 structure (PBE, Alexandria).

The energy above the lowest structure with this stoichiometry comes out at 3.89 eV/f.u. The calculation puts the size of the total moment at 3.6 μB/f.u. As for the crystal system: tetragonal.

Lattice parameters (Å, degrees): 4.899 4.899 4.687 90.00 90.00 90.00
Each line ends with the local moment (μB).
Fractional coordinates of all 5 atoms:
P 0.000 0.000 0.500  -0.31
S 0.000 0.500 0.000  0.00
S 0.500 0.000 0.000  0.00
Au 0.000 0.000 0.000  -0.01
Tc 0.500 0.500 0.500  3.77

***

2.
# TcPAuS2

A geometry-optimized TcPAuS2 structure (PBE, Alexandria).

The energy above the lowest structure with this stoichiometry comes out at 0.00 eV/f.u. The calculation puts the size of the total moment at 0.0 μB/f.u. As for the crystal system: tetragonal.

Lattice parameters (Å, degrees): 4.477 4.477 5.007 90.00 90.00 90.00
Fractional coordinates of all 5 atoms:
P 0.000 0.000 0.500
S 0.000 0.500 0.000
S 0.500 0.000 0.000
Au 0.500 0.500 0.500
Tc 0.000 0.000 0.000

***

3.
# TeP2AuS

A geometry-optimized TeP2AuS structure (PBE, Alexandria).

The energy above the lowest structure with this stoichiometry comes out at 0.00 eV/f.u. The calculation puts the size of the total moment at 0.0 μB/f.u. As for the crystal system: tetragonal.

Lattice parameters (Å, degrees): 4.820 4.820 4.858 90.00 90.00 90.00
Fractional coordinates of all 5 atoms:
P 0.000 0.500 0.000
P 0.500 0.000 0.000
S 0.000 0.000 0.500
Te 0.500 0.500 0.500
Au 0.000 0.000 0.000

***

4.
# TePAuS2

A geometry-optimized TePAuS2 structure (PBE, Alexandria).

The energy above the lowest structure with this stoichiometry comes out at 0.00 eV/f.u. The calculation puts the size of the total moment at 0.0 μB/f.u. As for the crystal system: tetragonal.

Lattice parameters (Å, degrees): 4.879 4.879 4.732 90.00 90.00 90.00
Fractional coordinates of all 5 atoms:
P 0.000 0.000 0.500
S 0.000 0.500 0.000
S 0.500 0.000 0.000
Te 0.500 0.500 0.500
Au 0.000 0.000 0.000

***

5.
# Th6P3AuS2

A geometry-optimized Th6P3AuS2 structure (PBE, Alexandria).

For the total DFT energy (no corrections), the calculation gives -7.4913 eV/atom. The calculation puts the size of the total moment at 0.0 μB/f.u. As for the crystal system: monoclinic.

Lattice parameters (Å, degrees): 4.107 8.366 9.285 103.30 102.78 90.00
Fractional coordinates of all 12 atoms:
Th 0.328 0.919 0.657
Th 0.665 0.586 0.329
Th 0.672 0.081 0.343
Th 0.000 0.262 0.000
Th 0.000 0.738 0.000
Th 0.335 0.414 0.671
P 0.500 0.500 0.000
P 0.835 0.168 0.669
P 0.165 0.832 0.331
Au 0.500 0.000 0.000
S 0.832 0.666 0.663
S 0.168 0.334 0.337

***

6.
# Th4PAuS2

A geometry-optimized Th4PAuS2 structure (PBE, Alexandria).

For the total DFT energy (no corrections), the calculation gives -7.2379 eV/atom. The calculation puts the size of the total moment at 0.0 μB/f.u. As for the crystal system: monoclinic.

Lattice parameters (Å, degrees): 4.124 7.128 7.289 70.78 90.00 90.00
Fractional coordinates of all 8 atoms:
Th 0.000 0.753 0.760
Th 0.000 0.247 0.240
Th 0.500 0.759 0.238
Th 0.500 0.241 0.762
P 0.500 0.500 0.000
Au 0.000 0.500 0.500
S 0.000 0.000 0.000
S 0.500 0.000 0.500

***

7.
# TiPAuS2

A geometry-optimized TiPAuS2 structure (PBE, Alexandria).

The energy above the lowest structure with this stoichiometry comes out at 3.28 eV/f.u. The calculation puts the size of the total moment at 0.1 μB/f.u. As for the crystal system: tetragonal.

Lattice parameters (Å, degrees): 4.798 4.798 4.706 90.00 90.00 90.00
Each line ends with the local moment (μB).
Fractional coordinates of all 5 atoms:
P 0.000 0.000 0.500  0.03
S 0.000 0.500 0.000  -0.03
S 0.500 0.000 0.000  -0.03
Au 0.000 0.000 0.000  0.00
Ti 0.500 0.500 0.500  0.10

***

8.
# TiPAuS2

A geometry-optimized TiPAuS2 structure (PBE, Alexandria).

The energy above the lowest structure with this stoichiometry comes out at 0.00 eV/f.u. The calculation puts the size of the total moment at 0.0 μB/f.u. As for the crystal system: tetragonal.

Lattice parameters (Å, degrees): 4.611 4.611 4.871 90.00 90.00 90.00
Fractional coordinates of all 5 atoms:
P 0.000 0.000 0.500
S 0.000 0.500 0.000
S 0.500 0.000 0.000
Au 0.500 0.500 0.500
Ti 0.000 0.000 0.000

***

9.
# TlP2AuS8

A geometry-optimized TlP2AuS8 structure (PBE, Alexandria).

For the total DFT energy (no corrections), the calculation gives -4.1035 eV/atom. The calculation puts the size of the total moment at 0.0 μB/f.u. As for the crystal system: trigonal.

Lattice parameters (Å, degrees): 5.871 5.871 10.065 73.04 73.04 60.00
Fractional coordinates of all 12 atoms:
Tl 0.500 0.500 0.500
P 0.259 0.259 0.224
P 0.741 0.741 0.776
Au 0.000 0.000 0.000
S 0.188 0.188 0.436
S 0.614 0.288 0.164
S 0.812 0.812 0.564
S 0.934 0.614 0.164
S 0.066 0.386 0.836
S 0.288 0.934 0.164
S 0.712 0.066 0.836
S 0.386 0.712 0.836

***

10.
# TlP2AuS

A geometry-optimized TlP2AuS structure (PBE, Alexandria).

The energy above the lowest structure with this stoichiometry comes out at 0.00 eV/f.u. The calculation puts the size of the total moment at 1.7 μB/f.u. As for the crystal system: tetragonal.

Lattice parameters (Å, degrees): 4.876 4.876 5.186 90.00 90.00 90.00
Each line ends with the local moment (μB).
Fractional coordinates of all 5 atoms:
P 0.000 0.500 0.000  0.35
P 0.500 0.000 0.000  0.35
Tl 0.500 0.500 0.500  0.04
Au 0.000 0.000 0.000  0.08
S 0.000 0.000 0.500  0.07

***

11.
# TlPAuS2

A geometry-optimized TlPAuS2 structure (PBE, Alexandria).

The energy above the lowest structure with this stoichiometry comes out at 0.00 eV/f.u. The calculation puts the size of the total moment at 0.0 μB/f.u. As for the crystal system: tetragonal.

Lattice parameters (Å, degrees): 5.173 5.173 4.623 90.00 90.00 90.00
Fractional coordinates of all 5 atoms:
P 0.000 0.000 0.500
Tl 0.500 0.500 0.500
Au 0.000 0.000 0.000
S 0.000 0.500 0.000
S 0.500 0.000 0.000

***

12.
# TlPAuS2

A geometry-optimized TlPAuS2 structure (PBE, Alexandria).

The energy above the lowest structure with this stoichiometry comes out at 3.55 eV/f.u. The calculation puts the size of the total moment at 1.8 μB/f.u. As for the crystal system: tetragonal.

Lattice parameters (Å, degrees): 5.131 5.131 5.164 90.00 90.00 90.00
Each line ends with the local moment (μB).
Fractional coordinates of all 5 atoms:
P 0.000 0.000 0.500  0.54
Tl 0.000 0.000 0.000  0.01
Au 0.500 0.500 0.500  0.04
S 0.000 0.500 0.000  0.19
S 0.500 0.000 0.000  0.19

***

13.
# TlP2AuS

A geometry-optimized TlP2AuS structure (PBE, Alexandria).

The energy above the lowest structure with this stoichiometry comes out at 3.61 eV/f.u. The calculation puts the size of the total moment at 2.0 μB/f.u. As for the crystal system: tetragonal.

Lattice parameters (Å, degrees): 5.166 5.166 5.076 90.00 90.00 90.00
Each line ends with the local moment (μB).
Fractional coordinates of all 5 atoms:
P 0.000 0.500 0.000  0.40
P 0.500 0.000 0.000  0.40
Tl 0.000 0.000 0.000  0.01
Au 0.500 0.500 0.500  0.04
S 0.000 0.000 0.500  0.13

***

14.
# Tm4PAuS2

A geometry-optimized Tm4PAuS2 structure (PBE, Alexandria).

For the total DFT energy (no corrections), the calculation gives -5.8909 eV/atom. The calculation puts the size of the total moment at 0.0 μB/f.u. As for the crystal system: monoclinic.

Lattice parameters (Å, degrees): 3.885 6.922 6.821 71.56 90.00 90.00
Fractional coordinates of all 8 atoms:
Tm 0.000 0.760 0.740
Tm 0.000 0.240 0.260
Tm 0.500 0.750 0.260
Tm 0.500 0.250 0.740
P 0.000 0.500 0.500
Au 0.500 0.500 0.000
S 0.000 0.000 0.000
S 0.500 0.000 0.500

***

15.
# P2WAuS

A geometry-optimized P2WAuS structure (PBE, Alexandria).

The energy above the lowest structure with this stoichiometry comes out at 0.00 eV/f.u. The calculation puts the size of the total moment at 0.0 μB/f.u. As for the crystal system: tetragonal.

Lattice parameters (Å, degrees): 4.785 4.785 4.527 90.00 90.00 90.00
Fractional coordinates of all 5 atoms:
P 0.000 0.500 0.000
P 0.500 0.000 0.000
S 0.000 0.000 0.500
Au 0.500 0.500 0.500
W 0.000 0.000 0.000

***

16.
# P2WAuS

A geometry-optimized P2WAuS structure (PBE, Alexandria).

The energy above the lowest structure with this stoichiometry comes out at 6.03 eV/f.u. The calculation puts the size of the total moment at 0.0 μB/f.u. As for the crystal system: tetragonal.

Lattice parameters (Å, degrees): 4.650 4.650 4.695 90.00 90.00 90.00
Fractional coordinates of all 5 atoms:
P 0.000 0.500 0.000
P 0.500 0.000 0.000
S 0.000 0.000 0.500
Au 0.000 0.000 0.000
W 0.500 0.500 0.500

***

17.
# YP2AuS

A geometry-optimized YP2AuS structure (PBE, Alexandria).

The energy above the lowest structure with this stoichiometry comes out at 0.00 eV/f.u. The calculation puts the size of the total moment at 0.0 μB/f.u. As for the crystal system: tetragonal.

Lattice parameters (Å, degrees): 4.760 4.760 4.939 90.00 90.00 90.00
Fractional coordinates of all 5 atoms:
Y 0.500 0.500 0.500
P 0.000 0.500 0.000
P 0.500 0.000 0.000
S 0.000 0.000 0.500
Au 0.000 0.000 0.000

***

18.
# YP2AuS

A geometry-optimized YP2AuS structure (PBE, Alexandria).

The energy above the lowest structure with this stoichiometry comes out at 2.64 eV/f.u. The calculation puts the size of the total moment at 0.9 μB/f.u. As for the crystal system: tetragonal.

Lattice parameters (Å, degrees): 5.322 5.322 5.099 90.00 90.00 90.00
Each line ends with the local moment (μB).
Fractional coordinates of all 5 atoms:
Y 0.000 0.000 0.000  0.00
P 0.000 0.500 0.000  0.16
P 0.500 0.000 0.000  0.16
S 0.000 0.000 0.500  0.12
Au 0.500 0.500 0.500  0.01

***

19.
# Y4PAuS2

A geometry-optimized Y4PAuS2 structure (PBE, Alexandria).

For the total DFT energy (no corrections), the calculation gives -6.9347 eV/atom. The calculation puts the size of the total moment at 0.0 μB/f.u. As for the crystal system: monoclinic.

Lattice parameters (Å, degrees): 3.965 7.012 6.950 71.43 90.00 90.00
Fractional coordinates of all 8 atoms:
Y 0.000 0.761 0.737
Y 0.000 0.239 0.263
Y 0.500 0.751 0.261
Y 0.500 0.249 0.739
P 0.000 0.500 0.500
Au 0.500 0.500 0.000
S 0.000 0.000 0.000
S 0.500 0.000 0.500

***

20.
# ZnP2AuS

A geometry-optimized ZnP2AuS structure (PBE, Alexandria).

The energy above the lowest structure with this stoichiometry comes out at 0.00 eV/f.u. The calculation puts the size of the total moment at 0.4 μB/f.u. As for the crystal system: tetragonal.

Lattice parameters (Å, degrees): 4.625 4.625 4.634 90.00 90.00 90.00
Each line ends with the local moment (μB).
Fractional coordinates of all 5 atoms:
P 0.000 0.500 0.000  0.07
P 0.500 0.000 0.000  0.07
Zn 0.000 0.000 0.000  0.01
Au 0.500 0.500 0.500  0.02
S 0.000 0.000 0.500  0.03